Dy4HoCu4 after structural relaxation. Source: the Alexandria database, functional GGA-PBE.

a = 5.8968 Å, b = 8.5873 Å, c = 8.5873 Å
α = 90.00°, β = 90.00°, γ = 90.00°
Atoms (fractional coordinates):
Dy  0.4007  0.3042  0.9134
Dy  0.9007  0.5866  0.8042
Dy  0.4007  0.6958  0.0866
Dy  0.0993  0.1958  0.5866
Dy  0.5993  0.9134  0.6958
Dy  0.0993  0.8042  0.4134
Dy  0.9007  0.4134  0.1958
Dy  0.5993  0.0866  0.3042
Ho  0.0000  0.0000  0.0000
Ho  0.5000  0.5000  0.5000
Cu  0.6237  0.7722  0.3707
Cu  0.6237  0.2278  0.6293
Cu  0.1237  0.8707  0.7278
Cu  0.8763  0.2722  0.8707
Cu  0.8763  0.7278  0.1293
Cu  0.3763  0.3707  0.2278
Cu  0.3763  0.6293  0.7722
Cu  0.1237  0.1293  0.2722

Results
- total magnetization (μB/cell) = 0.00
- E_tot (eV per cell) = -79.42
- formation energy (eV/atom) = -0.038
- SG = P4_2/n (86)